(1)
GGA-PBE Sr2LaTe, optimized geometry; mass density = 4.354 g cm⁻³; formation energy from raw total energies = -0.641 eV/atom; VASP energy = -14.0 eV/cell
1.0
4.050 0.000 0.000
0.000 4.050 0.000
0.000 0.000 10.272
Sr La Te
2 1 1
Direct
0.000 0.000 0.000
0.500 0.500 0.322
0.500 0.500 0.697
0.000 0.000 0.531


(2)
GGA-PBE Sr3La3YTe8, optimized geometry; mass density = 5.293 g cm⁻³; formation energy from raw total energies = -1.612 eV/atom; VASP energy = -75.6 eV/cell
1.0
4.586 2.648 7.704
-4.586 2.648 7.704
0.000 -5.296 7.704
Sr La Y Te
3 3 1 8
Direct
0.000 0.500 0.500
0.500 0.000 0.500
0.500 0.500 0.000
0.000 0.000 0.500
0.000 0.500 0.000
0.500 0.000 0.000
0.500 0.500 0.500
0.248 0.248 0.248
0.254 0.741 0.741
0.259 0.259 0.746
0.259 0.746 0.259
0.741 0.254 0.741
0.741 0.741 0.254
0.746 0.259 0.259
0.752 0.752 0.752


(3)
GGA-PBE Sr3La2YTe6, optimized geometry; mass density = 5.563 g cm⁻³; formation energy from raw total energies = -1.586 eV/atom; VASP energy = -59.2 eV/cell
1.0
10.114 -2.287 0.000
10.114 2.287 0.000
-2.348 0.000 9.004
Sr La Y Te
3 2 1 6
Direct
0.000 0.000 0.000
0.331 0.331 0.666
0.669 0.669 0.334
0.333 0.333 0.165
0.667 0.667 0.835
0.000 0.000 0.500
0.161 0.161 0.583
0.167 0.167 0.082
0.500 0.500 0.265
0.500 0.500 0.735
0.833 0.833 0.918
0.839 0.839 0.417


Question: Look up the mass density of the third one.
Answer: 5.563 g cm⁻³